Be2HgH2: optimized geometry, GGA-PBE.

Properties
Density of states at the Fermi level: 0.208 states/eV/atom
Energy above the lowest structure with this stoichiometry: 0.0 meV/atom

abc: 2.861 2.861 6.152
angles: 76.55 76.55 90.00
Atoms (fractional coordinates):
Be1 0.328 0.328 0.344
Be2 0.672 0.672 0.656
Hg1 0.000 0.000 0.000
H1 0.750 0.250 0.500
H2 0.250 0.750 0.500

=====

BeHg2H: optimized geometry, GGA-PBE.

Properties
Density of states at the Fermi level: 0.268 states/eV/atom
Energy above the lowest structure with this stoichiometry: 0.0 meV/atom

abc: 5.407 5.407 6.332
angles: 64.73 64.73 90.00
Atoms (fractional coordinates):
Be1 0.000 0.000 0.000
Be2 0.750 0.250 0.500
Hg1 0.593 0.125 0.250
Hg2 0.157 0.625 0.250
Hg3 0.375 0.407 0.750
Hg4 0.875 0.843 0.750
H1 0.500 0.500 0.000
H2 0.250 0.750 0.500

=====

Be3HgH: optimized geometry, GGA-PBE.

Properties
Density of states at the Fermi level: 0.275 states/eV/atom
Energy above the lowest structure with this stoichiometry: 762.1 meV/atom

abc: 4.488 4.488 4.488
angles: 90.00 90.00 90.00
Each line ends with the local moment (μB).
Atoms (fractional coordinates):
Be1 0.000 0.500 0.000  0.01
Be2 0.000 0.000 0.500  0.03
Be3 0.500 0.000 0.000  0.04
Hg1 0.000 0.000 0.000  0.06
H1 0.500 0.500 0.500  0.26

=====

Be3HgH: optimized geometry, GGA-PBE.

Properties
Density of states at the Fermi level: 0.432 states/eV/atom
Energy above the lowest structure with this stoichiometry: 0.0 meV/atom

abc: 3.683 3.683 3.683
angles: 90.00 90.00 90.00
Atoms (fractional coordinates):
Be1 0.000 0.500 0.000
Be2 0.000 0.000 0.500
Be3 0.500 0.000 0.000
Hg1 0.500 0.500 0.500
H1 0.000 0.000 0.000

=====

BeHg2H2: optimized geometry, GGA-PBE.

Properties
Density of states at the Fermi level: 0.261 states/eV/atom
Energy above the lowest structure with this stoichiometry: 168.0 meV/atom

abc: 5.711 5.711 4.102
angles: 90.00 90.00 90.00
Atoms (fractional coordinates):
Be1 0.000 0.000 0.000
Be2 0.500 0.500 0.000
Hg1 0.309 0.809 0.500
Hg2 0.809 0.691 0.500
Hg3 0.691 0.191 0.500
Hg4 0.191 0.309 0.500
H1 0.286 0.786 0.000
H2 0.786 0.714 0.000
H3 0.714 0.214 0.000
H4 0.214 0.286 0.000

=====

BeHg2H2: optimized geometry, GGA-PBE.

Properties
Density of states at the Fermi level: 0.318 states/eV/atom
Energy above the lowest structure with this stoichiometry: 0.0 meV/atom

abc: 4.714 4.714 4.568
angles: 58.94 58.94 90.00
Atoms (fractional coordinates):
Be1 0.000 0.000 0.000
Hg1 0.750 0.250 0.500
Hg2 0.250 0.750 0.500
H1 0.439 0.439 0.123
H2 0.561 0.561 0.877